(1)
A plane-wave DFT calculation with GGA-PBE was carried out for CsLaHg after structural relaxation.

Cell: 9.851 4.092 13.147 Å, 90.00 106.22 90.00°
Positions (direct):
Cs: 0.399 0.000 0.850
Cs: 0.601 0.000 0.150
Cs: 0.399 0.500 0.350
Cs: 0.601 0.500 0.650
Hg: 0.206 0.000 0.531
Hg: 0.794 0.000 0.469
Hg: 0.206 0.500 0.031
Hg: 0.794 0.500 0.969
La: 0.989 0.000 0.864
La: 0.011 0.000 0.136
La: 0.989 0.500 0.364
La: 0.011 0.500 0.636

Values from the calculation:
SG = C2/m, No. 12
formation energy from the elements = -0.08 eV/atom

***

(2)
A plane-wave DFT calculation with GGA-PBE was carried out for NdSmMn4Ge4 after structural relaxation.

Cell: 3.999 3.999 10.893 Å, 90.00 90.00 90.00°
Positions (direct):
Nd: 0.000 0.000 0.000
Sm: 0.500 0.500 0.500
Mn: 0.000 0.500 0.252
Mn: 0.500 0.000 0.748
Mn: 0.500 0.000 0.252
Mn: 0.000 0.500 0.748
Ge: 0.500 0.500 0.124
Ge: 0.000 0.000 0.621
Ge: 0.000 0.000 0.379
Ge: 0.500 0.500 0.876

Values from the calculation:
SG = P4/mmm, No. 123
formation energy from the elements = -0.47 eV/atom

***

(3)
A plane-wave DFT calculation with GGA-PBE was carried out for LiCaTa2Sb after structural relaxation.

Cell: 5.162 5.739 5.162 Å, 90.00 90.00 90.00°
Positions (direct):
Sb: 0.000 0.000 0.000
Ca: 0.000 0.500 0.000
Li: 0.500 0.500 0.500
Ta: 0.000 0.000 0.500
Ta: 0.500 0.000 0.000

Values from the calculation:
SG = P4/mmm, No. 123
formation energy (no corrections) = 1.249 eV per atom

***

(4)
A plane-wave DFT calculation with GGA-PBE was carried out for Ba7B4Se13 after structural relaxation.

Cell: 13.840 13.840 10.662 Å, 89.98 89.98 134.66°
Positions (direct):
Ba: 0.064 0.721 0.528
Ba: 0.279 0.936 0.972
Ba: 0.452 0.105 0.357
Ba: 0.332 0.668 0.250
Ba: 0.668 0.332 0.750
Ba: 0.548 0.895 0.643
Ba: 0.997 0.003 0.750
Ba: 0.936 0.279 0.472
Ba: 0.895 0.548 0.143
Ba: 0.003 0.997 0.250
Ba: 0.105 0.452 0.857
Ba: 0.504 0.496 0.250
Ba: 0.496 0.504 0.750
Ba: 0.721 0.064 0.028
B: 0.517 0.283 0.068
B: 0.067 0.292 0.149
B: 0.483 0.717 0.932
B: 0.933 0.708 0.851
B: 0.283 0.517 0.568
B: 0.292 0.067 0.649
B: 0.717 0.483 0.432
B: 0.708 0.933 0.351
Se: 0.377 0.995 0.653
Se: 0.206 0.794 0.250
Se: 0.341 0.182 0.151
Se: 0.597 0.208 0.063
Se: 0.208 0.597 0.563
Se: 0.659 0.818 0.849
Se: 0.818 0.659 0.349
Se: 0.322 0.169 0.797
Se: 0.794 0.206 0.750
Se: 0.828 0.979 0.490
Se: 0.466 0.629 0.499
Se: 0.979 0.828 0.990
Se: 0.021 0.172 0.010
Se: 0.629 0.466 0.999
Se: 0.831 0.678 0.703
Se: 0.678 0.831 0.203
Se: 0.005 0.623 0.847
Se: 0.403 0.792 0.937
Se: 0.534 0.371 0.501
Se: 0.995 0.377 0.153
Se: 0.169 0.322 0.297
Se: 0.623 0.005 0.347
Se: 0.371 0.534 0.001
Se: 0.172 0.021 0.510
Se: 0.182 0.341 0.651
Se: 0.792 0.403 0.437

Values from the calculation:
SG = C2/c, No. 15
formation energy (no corrections) = -1.290 eV per atom

***

no.,electronic total energy (eV per atom)
1,-2.11
2,-6.93
3,-5.10
4,-4.85